[1]
Hg4SbIBr | PBE | relaxed

Values from the calculation:
E_form (uncorrected), eV per atom: -0.1135
Space-group type: P2_1/m, No. 11
Crystal system: monoclinic

a b c (Å): 7.463 8.003 8.372
angles (deg): 90.00 102.09 90.00
Element x y z (fractional)
Hg1 0.026 0.575 0.833
Hg2 0.974 0.075 0.167
Hg3 0.974 0.425 0.167
Hg4 0.026 0.925 0.833
Hg5 0.384 0.750 0.162
Hg6 0.616 0.250 0.838
Hg7 0.306 0.750 0.624
Hg8 0.694 0.250 0.376
Sb1 0.077 0.750 0.300
Sb2 0.923 0.250 0.700
I1 0.707 0.750 0.474
I2 0.293 0.250 0.526
Br1 0.586 0.750 0.928
Br2 0.414 0.250 0.072


[2]
HgSbIBr2 | PBE | relaxed

Values from the calculation:
E_form (uncorrected), eV per atom: -0.2731
Space-group type: P4/mmm, No. 123
Crystal system: tetragonal

a b c (Å): 5.633 5.633 6.039
angles (deg): 90.00 90.00 90.00
Element x y z (fractional)
I1 0.000 0.000 0.500
Sb1 0.000 0.000 0.000
Hg1 0.500 0.500 0.500
Br1 0.000 0.500 0.000
Br2 0.500 0.000 0.000


[3]
HgSb2IBr | PBE | relaxed

Values from the calculation:
Relative energy among the computed polymorphs, eV per atom: 0.0000
E_form (uncorrected), eV per atom: 0.5676
Space-group type: P4/mmm, No. 123
Crystal system: tetragonal

a b c (Å): 5.670 5.670 5.798
angles (deg): 90.00 90.00 90.00
Site moments in Bohr magnetons follow the coordinates.
Element x y z (fractional)
I1 0.000 0.000 0.500  0.00
Sb1 0.000 0.500 0.000  0.16
Sb2 0.500 0.000 0.000  0.16
Hg1 0.000 0.000 0.000  0.00
Br1 0.500 0.500 0.500  -0.02


[4]
HgSb2IBr | PBE | relaxed

Values from the calculation:
Relative energy among the computed polymorphs, eV per atom: 0.1491
E_form (uncorrected), eV per atom: 0.7167
Space-group type: P4/mmm, No. 123
Crystal system: tetragonal

a b c (Å): 5.561 5.561 7.512
angles (deg): 90.00 90.00 90.00
Site moments in Bohr magnetons follow the coordinates.
Element x y z (fractional)
I1 0.000 0.000 0.500  0.10
Sb1 0.000 0.500 0.000  0.47
Sb2 0.500 0.000 0.000  0.47
Hg1 0.500 0.500 0.500  0.03
Br1 0.000 0.000 0.000  0.05


[5]
Hg4Sb2I2Br | PBE | relaxed

Values from the calculation:
E_form (uncorrected), eV per atom: -0.1197
Space-group type: C2/m, No. 12
Crystal system: monoclinic

a b c (Å): 4.336 10.475 13.294
angles (deg): 141.06 90.00 101.94
Element x y z (fractional)
Hg1 0.781 0.561 0.796
Hg2 0.219 0.439 0.204
Hg3 0.479 0.959 0.222
Hg4 0.521 0.041 0.778
Sb1 0.260 0.519 0.935
Sb2 0.740 0.481 0.065
I1 0.869 0.739 0.542
I2 0.131 0.261 0.458
Br1 0.000 0.000 0.000


[6]
Hg3SbIBr | PBE | relaxed

Values from the calculation:
E_form (uncorrected), eV per atom: -0.1100
Space-group type: P2_1/m, No. 11
Crystal system: monoclinic

a b c (Å): 4.134 8.230 13.178
angles (deg): 89.33 90.00 90.00
Element x y z (fractional)
Hg1 0.250 0.585 0.439
Hg2 0.750 0.965 0.083
Hg3 0.750 0.579 0.197
Hg4 0.750 0.415 0.561
Hg5 0.250 0.421 0.803
Hg6 0.250 0.035 0.917
Sb1 0.250 0.815 0.265
Sb2 0.750 0.185 0.735
I1 0.750 0.657 0.865
I2 0.250 0.343 0.135
Br1 0.250 0.009 0.633
Br2 0.750 0.991 0.367


[7]
Hg4SbI2Br | PBE | relaxed

Values from the calculation:
E_form (uncorrected), eV per atom: -0.2001
Space-group type: Pmn2_1, No. 31
Crystal system: orthorhombic

a b c (Å): 9.455 7.301 10.118
angles (deg): 90.00 90.00 90.00
Element x y z (fractional)
Hg1 0.192 0.950 0.000
Hg2 0.692 0.050 0.500
Hg3 0.280 0.336 0.500
Hg4 0.780 0.664 0.000
Hg5 0.500 0.626 0.675
Hg6 0.000 0.374 0.175
Hg7 0.000 0.374 0.825
Hg8 0.500 0.626 0.325
Sb1 0.432 0.897 0.500
Sb2 0.932 0.103 0.000
I1 0.578 0.303 0.210
I2 0.578 0.303 0.790
I3 0.078 0.697 0.710
I4 0.078 0.697 0.290
Br1 0.941 0.190 0.500
Br2 0.441 0.810 0.000


[8]
ScHgIBr2 | PBE | relaxed

Values from the calculation:
E_form (uncorrected), eV per atom: -1.0481
Space-group type: P4/mmm, No. 123
Crystal system: tetragonal

a b c (Å): 5.360 5.360 5.791
angles (deg): 90.00 90.00 90.00
Element x y z (fractional)
I1 0.000 0.000 0.500
Sc1 0.000 0.000 0.000
Hg1 0.500 0.500 0.500
Br1 0.000 0.500 0.000
Br2 0.500 0.000 0.000


Quick rundown of raw total energy, same order as above: -18.69; -10.69; -8.93; -8.19; -15.30; -17.82; -23.41; -16.77 eV for the cell shown
Quick rundown of Fermi-level density of states, same order as above: 3.03; 2.73; 3.96; 5.99; 1.57; 1.92; 0.00; 0.06 states/eV/cell